Computed, not measured: a geometry-optimized AlTcTe3 structure at the PBE level of DFT.

Cell lengths 5.2746, 5.2746, 5.2746 Å; angles 90.00, 90.00, 90.00 degrees
Last column: nearest neighbours and their distance in Å.
Sites, in units of the cell vectors:
Al (0.0000, 0.0000, 0.0000)  12 Te 3.73
Tc (0.5000, 0.5000, 0.5000)  6 Te 2.64
Te (0.0000, 0.5000, 0.5000)  2 Tc 2.64
Te (0.5000, 0.0000, 0.5000)  2 Tc 2.64
Te (0.5000, 0.5000, 0.0000)  2 Tc 2.64

Its distance to the lowest polymorph of the same formula is 0 meV per atom. The formation energy (no corrections) is 268 kJ/mol of formula units. The value obtained for the spin magnetization is 0.000 μB/atom. As for the space group: Pm-3m, No. 221. As for the volume: 29.349 A^3/atom.